Density functional theory data (PBE-GGA) for a relaxed structure of YHoGe2.

a = 3.9595 Å, b = 5.7769 Å, c = 7.9369 Å
α = 90.00°, β = 90.00°, γ = 90.00°
Last column: nearest neighbours and their distance in Å.
Space group Pmc2_1 (No. 26)
Unique sites:
Y (0.0000, 0.1309, 0.0000) x2  7 Ge 2.95-3.24
Ho (0.5000, 0.3692, 0.6381) x2  7 Ge 2.96-3.24
Ge (0.0000, 0.3952, 0.3604) x2  2 Ge 2.67, 1 Y 2.95, 4 Ho 2.97-2.98
Ge (0.5000, 0.1054, 0.2780) x2  2 Ge 2.67, 1 Ho 2.96, 4 Y 2.97-2.98

ρ: 7.3 Mg/m³
uncorrected energy: -47.55 eV/cell
DOS(E_F): 0.60 states/eV/atom
energy above the lowest structure with this stoichiometry: 0.004 eV/atom